VASP calculation (SCAN) on a crystal of HoSF relaxed with PBEsol.

Summary:
- E_form (uncorrected) (kcal/mol of atoms) = -76.369
- symmetry = P4/nmm (129)
- magnetic moment (μB/cell) = 0.000
- DOS(E_F) (states/eV/f.u.) = 0.00
- density (g cm⁻³) = 7.76

a b c (Å): 3.7059 3.7059 6.7347
angles (deg): 90.00 90.00 90.00
Last column: nearest neighbours and their distance in Å.
Fractional coordinates of all 6 atoms:
S (0.0000, 0.5000, 0.3575)  5 Ho 2.76-2.80, 4 F 3.04
S (0.5000, 0.0000, 0.6425)  5 Ho 2.76-2.80, 4 F 3.04
Ho (0.0000, 0.5000, 0.7732)  4 F 2.40
Ho (0.5000, 0.0000, 0.2268)  4 F 2.40
F (0.0000, 0.0000, 0.0000)  4 Ho 2.40, 4 F 2.62
F (0.5000, 0.5000, 0.0000)  4 Ho 2.40, 4 F 2.62


VASP calculation (SCAN) on a crystal of IF3 relaxed with PBEsol.

Summary:
- E_form (uncorrected) (kcal/mol of atoms) = -31.993
- symmetry = Pnma (62)
- magnetic moment (μB/cell) = 0.000
- DOS(E_F) (states/eV/f.u.) = 0.00
- density (g cm⁻³) = 4.64

a b c (Å): 4.5193 6.5815 8.8428
angles (deg): 90.00 90.00 90.00
Last column: nearest neighbours and their distance in Å.
Fractional coordinates of all 16 atoms:
F (0.0895, 0.9493, 0.3294)  1 I 2.02
F (0.3577, 0.2500, 0.4331)  1 I 1.90
F (0.4105, 0.9493, 0.8294)  1 I 2.02
F (0.5895, 0.0507, 0.1706)  1 I 2.02
F (0.5895, 0.4493, 0.1706)  1 I 2.02
F (0.9105, 0.0507, 0.6706)  1 I 2.02
F (0.6423, 0.7500, 0.5669)  1 I 1.90
F (0.4105, 0.5507, 0.8294)  1 I 2.02
F (0.0895, 0.5507, 0.3294)  1 I 2.02
F (0.1423, 0.2500, 0.9331)  1 I 1.90
F (0.8577, 0.7500, 0.0669)  1 I 1.90
F (0.9105, 0.4493, 0.6706)  1 I 2.02
I (0.4844, 0.2500, 0.8076)  3 F 1.90-2.02
I (0.9844, 0.7500, 0.6924)  3 F 1.90-2.02
I (0.0156, 0.2500, 0.3076)  3 F 1.90-2.02
I (0.5156, 0.7500, 0.1924)  3 F 1.90-2.02


VASP calculation (SCAN) on a crystal of InIF2 relaxed with PBEsol.

Summary:
- E_form (uncorrected) (kcal/mol of atoms) = -34.728
- symmetry = I4_1/amd (141)
- magnetic moment (μB/cell) = 0.000
- DOS(E_F) (states/eV/f.u.) = 0.55
- density (g cm⁻³) = 5.53

a b c (Å): 5.0198 5.0198 7.5507
angles (deg): 109.41 109.41 90.00
Last column: nearest neighbours and their distance in Å.
Fractional coordinates of all 8 atoms:
I (0.2500, 0.7500, 0.5000)  8 F 3.26, 4 In 3.55
I (0.0000, 0.0000, 0.0000)  8 F 3.26, 4 In 3.55
F (0.1250, 0.3750, 0.7500)  2 In 2.09
F (0.6250, 0.8750, 0.2500)  2 In 2.09
F (0.6250, 0.3750, 0.7500)  2 In 2.09
F (0.6250, 0.3750, 0.2500)  2 In 2.09
In (0.7500, 0.2500, 0.5000)  4 F 2.09
In (0.5000, 0.5000, 0.0000)  4 F 2.09


VASP calculation (SCAN) on a crystal of InI2F relaxed with PBEsol.

Summary:
- E_form (uncorrected) (kcal/mol of atoms) = -13.175
- symmetry = I-42d (122)
- magnetic moment (μB/cell) = 0.000
- density (g cm⁻³) = 5.84

a b c (Å): 6.6009 6.6009 6.6009
angles (deg): 105.25 111.62 111.62
Last column: nearest neighbours and their distance in Å.
Fractional coordinates of all 8 atoms:
I (0.5012, 0.8750, 0.8762)  2 In 2.80, 2 F 2.81
I (0.4988, 0.3750, 0.3738)  2 In 2.80, 2 F 2.81
I (0.0012, 0.6262, 0.1250)  2 In 2.80, 2 F 2.81
I (0.9988, 0.1238, 0.6250)  2 In 2.80, 2 F 2.81
F (0.0000, 0.5000, 0.5000)  4 I 2.81
F (0.5000, 0.2500, 0.7500)  4 I 2.81
In (0.5000, 0.7500, 0.2500)  4 I 2.80
In (0.0000, 0.0000, 0.0000)  4 I 2.80


VASP calculation (SCAN) on a crystal of IrIO2F relaxed with PBEsol.

Summary:
- E_form (uncorrected) (kcal/mol of atoms) = -8.010
- symmetry = P4/mmm (123)
- magnetic moment (μB/cell) = 1.299
- DOS(E_F) (states/eV/f.u.) = 2.90
- density (g cm⁻³) = 7.55

a b c (Å): 3.7187 3.7187 5.8839
angles (deg): 90.00 90.00 90.00
Last column: nearest neighbours and their distance in Å.
Fractional coordinates of all 5 atoms:
O (0.0000, 0.5000, 0.0000)  2 Ir 1.86
O (0.5000, 0.0000, 0.0000)  2 Ir 1.86
I (0.0000, 0.0000, 0.5000)  4 F 2.63, 2 Ir 2.94
Ir (0.0000, 0.0000, 0.0000)  4 O 1.86
F (0.5000, 0.5000, 0.5000)  4 I 2.63


VASP calculation (SCAN) on a crystal of SbIrI2F relaxed with PBEsol.

Summary:
- E_form (uncorrected) (kcal/mol of atoms) = 20.864
- symmetry = P4/mmm (123)
- magnetic moment (μB/cell) = 0.002
- DOS(E_F) (states/eV/f.u.) = 3.55
- density (g cm⁻³) = 8.22

a b c (Å): 4.1286 5.3582 5.3582
angles (deg): 90.00 90.00 90.00
Last column: nearest neighbours and their distance in Å.
Fractional coordinates of all 5 atoms:
I (0.0000, 0.5000, 0.0000)  2 F 2.68
I (0.0000, 0.0000, 0.5000)  2 F 2.68
Ir (0.5000, 0.5000, 0.5000)  8 I 3.38
F (0.0000, 0.0000, 0.0000)  2 Sb 2.06
Sb (0.5000, 0.0000, 0.0000)  2 F 2.06


VASP calculation (SCAN) on a crystal of KLiIF2 relaxed with PBEsol.

Summary:
- E_form (uncorrected) (kcal/mol of atoms) = -36.324
- symmetry = P4/mmm (123)
- magnetic moment (μB/cell) = 1.015
- DOS(E_F) (states/eV/f.u.) = 1.01
- density (g cm⁻³) = 3.54

a b c (Å): 4.3591 4.3591 5.2034
angles (deg): 90.00 90.00 90.00
Last column: nearest neighbours and their distance in Å.
Fractional coordinates of all 5 atoms:
F (0.5000, 0.0000, 0.0000)  2 Li 2.18
F (0.0000, 0.5000, 0.0000)  2 Li 2.18
K (0.0000, 0.0000, 0.5000)  2 Li 2.60
Li (0.0000, 0.0000, 0.0000)  4 F 2.18
I (0.5000, 0.5000, 0.5000)  4 K 3.08, 8 F 3.39


VASP calculation (SCAN) on a crystal of KIO2F2 relaxed with PBEsol.

Summary:
- E_form (uncorrected) (kcal/mol of atoms) = -35.775
- symmetry = Pca2_1 (29)
- magnetic moment (μB/cell) = 0.000
- DOS(E_F) (states/eV/f.u.) = 0.00
- density (g cm⁻³) = 3.84

a b c (Å): 5.7260 8.5515 8.3299
angles (deg): 90.00 90.00 90.00
Last column: nearest neighbours and their distance in Å.
Fractional coordinates of all 24 atoms:
F (0.8055, 0.4362, 0.0937)  1 I 2.03
F (0.1945, 0.4362, 0.5937)  1 I 2.03
F (0.8157, 0.5954, 0.4236)  1 I 2.04
F (0.8157, 0.0954, 0.0764)  1 I 2.04
F (0.1945, 0.9362, 0.9063)  1 I 2.03
F (0.8055, 0.9362, 0.4063)  1 I 2.03
F (0.1843, 0.5954, 0.9236)  1 I 2.04
F (0.1843, 0.0954, 0.5764)  1 I 2.04
O (0.3583, 0.0084, 0.2897)  1 I 1.81
O (0.6129, 0.7155, 0.0221)  1 I 1.80
O (0.6417, 0.0084, 0.7897)  1 I 1.81
O (0.3871, 0.2155, 0.9779)  1 I 1.80
O (0.6129, 0.2155, 0.4779)  1 I 1.80
O (0.3583, 0.5084, 0.2103)  1 I 1.81
O (0.3871, 0.7155, 0.5221)  1 I 1.80
O (0.6417, 0.5084, 0.7103)  1 I 1.81
K (0.9703, 0.2592, 0.8030)  3 F 2.64-2.82, 3 O 2.82-2.95
K (0.9703, 0.7592, 0.6970)  3 F 2.64-2.82, 3 O 2.82-2.95
K (0.0297, 0.7592, 0.1970)  3 F 2.64-2.82, 3 O 2.82-2.95
K (0.0297, 0.2592, 0.3030)  3 F 2.64-2.82, 3 O 2.82-2.95
I (0.4948, 0.5202, 0.0148)  2 O 1.80-1.81
I (0.5052, 0.5202, 0.5148)  2 O 1.80-1.81
I (0.4948, 0.0202, 0.4852)  2 O 1.80-1.81
I (0.5052, 0.0202, 0.9852)  2 O 1.80-1.81


VASP calculation (SCAN) on a crystal of LaIF2 relaxed with PBEsol.

Summary:
- E_form (uncorrected) (kcal/mol of atoms) = -40.899
- symmetry = R-3m (166)
- magnetic moment (μB/cell) = 0.061
- DOS(E_F) (states/eV/f.u.) = 1.95
- density (g cm⁻³) = 4.34

a b c (Å): 3.5940 3.5940 10.6026
angles (deg): 80.24 80.24 60.00
Last column: nearest neighbours and their distance in Å.
Fractional coordinates of all 4 atoms:
I (0.5000, 0.5000, 0.5000)  6 I 3.59, 6 F 3.75
F (0.0664, 0.0664, 0.8008)  1 La 2.07
F (0.9336, 0.9336, 0.1992)  1 La 2.07
La (0.0000, 0.0000, 0.0000)  2 F 2.07


VASP calculation (SCAN) on a crystal of LaI2F relaxed with PBEsol.

Summary:
- E_form (uncorrected) (kcal/mol of atoms) = -34.389
- symmetry = I-42d (122)
- magnetic moment (μB/cell) = 0.000
- density (g cm⁻³) = 5.20

a b c (Å): 5.1492 5.1492 10.5566
angles (deg): 104.12 104.12 90.00
Last column: nearest neighbours and their distance in Å.
Fractional coordinates of all 8 atoms:
I (0.6250, 0.6206, 0.7500)  2 F 3.06, 2 La 3.08
I (0.3794, 0.8750, 0.2500)  2 F 3.06, 2 La 3.08
I (0.1250, 0.1294, 0.7500)  2 F 3.06, 2 La 3.08
I (0.8706, 0.3750, 0.2500)  2 F 3.06, 2 La 3.08
F (0.5000, 0.5000, 0.0000)  4 I 3.06
F (0.7500, 0.2500, 0.5000)  4 I 3.06
La (0.2500, 0.7500, 0.5000)  4 I 3.08
La (0.0000, 0.0000, 0.0000)  4 I 3.08